<i>
DFT (GGA-PBE) results for YBe3O after structural relaxation.

The structure in POSCAR format:
```
YBe3O
1.0
4.016 0.000 0.000
0.000 4.016 0.000
0.000 0.000 4.016
O Y Be
1 1 3
direct
0.000 0.000 0.000
0.500 0.500 0.500
0.000 0.000 0.500
0.000 0.500 0.000
0.500 0.000 0.000
```

Computed properties:
- Magnetization: 0.00 Bohr magnetons per cell

<ii>
DFT (GGA-PBE) results for YBe3O after structural relaxation.

The structure in POSCAR format:
```
YBe3O
1.0
5.263 0.000 0.000
0.000 5.263 0.000
0.000 0.000 5.263
Be Y O
3 1 1
direct
0.000 0.500 0.000
0.500 0.000 0.000
0.000 0.000 0.500
0.000 0.000 0.000
0.500 0.500 0.500
```

Computed properties:
- Magnetization: 0.00 Bohr magnetons per cell

Relative energy of each structure, in kJ/mol of atoms: <i> 0.0; <ii> 216.4.